Record 1
DFT (PBE-GGA) results for a geometry-optimized Nd6Bi5I structure.

POSCAR file:
```
Nd6Bi5I
1.0
-6.3786 4.6202 1.3533
2.5824 -5.0075 5.6676
5.7414 5.5180 0.3888
Nd Bi I
6 5 1
direct
0.4336 0.0864 0.2582
0.5664 0.9136 0.7418
0.2619 0.2619 0.7450
0.0864 0.4336 0.2582
0.7381 0.7381 0.2550
0.9136 0.5664 0.7418
0.6678 0.3322 0.0000
0.8384 0.1616 0.5000
0.5000 0.5000 0.5000
0.1616 0.8384 0.5000
0.3322 0.6678 0.0000
0.0000 0.0000 0.0000
```

Properties
Fermi-level density of states   3.12 states/eV/f.u.
SG   C2/m
Energy   -61.1 eV/cell
E_form (uncorrected)   -11.6 eV per formula unit

***

Record 2
DFT (PBE-GGA) results for a geometry-optimized Nd4BiI5 structure.

POSCAR file:
```
Nd4BiI5
1.0
4.3191 0.0000 0.0000
0.0000 9.4859 0.4315
-2.1595 -2.0498 9.3713
I Nd Bi
5 4 1
direct
0.8312 0.6824 0.6624
0.5000 0.5000 0.0000
0.1688 0.3176 0.3376
0.1674 0.8003 0.3348
0.8326 0.1997 0.6652
0.6678 0.0601 0.3356
0.3322 0.9399 0.6644
0.9983 0.7662 0.9965
0.0017 0.2338 0.0035
0.5000 0.0000 0.0000
```

Properties
Fermi-level density of states   5.66 states/eV/f.u.
SG   C2/m
Energy   -42.2 eV/cell
E_form (uncorrected)   -11.5 eV per formula unit

***

Record 3
DFT (PBE-GGA) results for a geometry-optimized Nd2BiI structure.

POSCAR file:
```
Nd2BiI
1.0
3.9709 0.0000 0.0000
0.0000 3.9709 0.0000
0.0000 0.0000 7.9323
I Bi Nd
1 1 2
direct
0.5000 0.5000 0.5000
0.5000 0.5000 0.0000
0.0000 0.0000 0.2312
0.0000 0.0000 0.7688
```

Properties
Fermi-level density of states   3.71 states/eV/f.u.
SG   P4/mmm
Energy   -18.2 eV/cell
E_form (uncorrected)   -3.3 eV per formula unit
Energy above the most stable polymorph in this dataset   76 meV/atom

***

Record 4
DFT (PBE-GGA) results for a geometry-optimized Nd2BiI structure.

POSCAR file:
```
Nd2BiI
1.0
-4.3816 0.3859 0.4793
-2.1480 -2.5909 2.8724
-1.0492 4.8079 6.9599
Nd Bi I
2 1 1
direct
0.0751 0.0751 0.7748
0.2581 0.2581 0.2256
0.6676 0.6676 0.9972
0.4992 0.4992 0.5023
```

Properties
Fermi-level density of states   1.72 states/eV/f.u.
SG   R3m
Energy   -18.5 eV/cell
E_form (uncorrected)   -3.6 eV per formula unit
Energy above the most stable polymorph in this dataset   0 meV/atom

***

Record 5
DFT (PBE-GGA) results for a geometry-optimized Nd2BiI structure.

POSCAR file:
```
Nd2BiI
1.0
-5.6411 0.3993 -0.3099
3.5228 -2.3176 -3.7978
-0.5631 -5.6474 2.9108
I Nd Bi
1 2 1
direct
0.4130 0.8190 0.1297
0.4170 0.8163 0.6296
0.7212 0.5092 0.1298
0.7261 0.5050 0.6298
```

Properties
Fermi-level density of states   2.65 states/eV/f.u.
SG   P1
Energy   -17.5 eV/cell
E_form (uncorrected)   -2.5 eV per formula unit
Energy above the most stable polymorph in this dataset   256 meV/atom

***

Record 6
DFT (PBE-GGA) results for a geometry-optimized Nd7BiI12 structure.

POSCAR file:
```
Nd7BiI12
1.0
9.6525 -0.2901 -2.9954
-3.9855 8.7960 -2.9954
-0.1933 -0.2901 10.1047
Nd I Bi
7 12 1
direct
0.1141 0.0425 0.3337
0.8859 0.9575 0.6663
0.5000 0.5000 0.5000
0.3337 0.1141 0.0425
0.9575 0.6663 0.8859
0.6663 0.8859 0.9575
0.0425 0.3337 0.1141
0.7693 0.9216 0.3083
0.6058 0.5263 0.8435
0.4737 0.1565 0.3942
0.0784 0.6917 0.2307
0.2307 0.0784 0.6917
0.8435 0.6058 0.5263
0.3942 0.4737 0.1565
0.3083 0.7693 0.9216
0.1565 0.3942 0.4737
0.9216 0.3083 0.7693
0.6917 0.2307 0.0784
0.5263 0.8435 0.6058
0.0000 0.0000 0.0000
```

Properties
Fermi-level density of states   7.23 states/eV/f.u.
SG   R-3
Energy   -80.9 eV/cell
E_form (uncorrected)   -25.1 eV per formula unit

***

Record 7
DFT (PBE-GGA) results for a geometry-optimized Nd2BiI structure.

POSCAR file:
```
Nd2BiI
1.0
-5.2198 -1.3877 -1.4247
-2.2433 -4.7511 1.8965
-4.0744 0.1640 3.8176
I Bi Nd
1 1 2
direct
0.0000 0.0000 0.0000
0.5000 0.5000 0.5000
0.2500 0.2500 0.2500
0.7500 0.7500 0.7500
```

Properties
Fermi-level density of states   3.77 states/eV/f.u.
SG   Fm-3m
Energy   -18.4 eV/cell
E_form (uncorrected)   -3.4 eV per formula unit
Energy above the most stable polymorph in this dataset   34 meV/atom

***

Record 8
DFT (PBE-GGA) results for a geometry-optimized Nd4Bi3I structure.

POSCAR file:
```
Nd4Bi3I
1.0
5.9342 0.0051 -2.6303
-1.1713 5.8175 -2.6302
-0.0171 -0.0211 7.9697
Nd I Bi
4 1 3
direct
0.7409 0.7409 0.4819
0.0000 0.5000 0.0000
0.2591 0.2591 0.5181
0.5000 0.0000 0.0000
0.0000 0.0000 0.0000
0.5000 0.5000 0.0000
0.2500 0.7500 0.5000
0.7500 0.2500 0.5000
```

Properties
Fermi-level density of states   3.22 states/eV/f.u.
SG   I4/mmm
Energy   -39.8 eV/cell
E_form (uncorrected)   -7.5 eV per formula unit

***

Record 9
DFT (PBE-GGA) results for a geometry-optimized Nd3BiI7 structure.

POSCAR file:
```
Nd3BiI7
1.0
7.1981 0.0000 0.0000
0.0000 9.2505 0.0000
0.0000 -4.6252 8.0111
I Bi Nd
7 1 3
direct
0.0304 0.1760 0.8240
0.5443 0.8289 0.6578
0.0353 0.6667 0.3333
0.0304 0.6480 0.8240
0.0304 0.1760 0.3520
0.5443 0.8289 0.1711
0.5443 0.3422 0.1711
0.5266 0.3333 0.6667
0.7764 0.0048 0.5024
0.7764 0.4976 0.5024
0.7764 0.4976 0.9952
```

Properties
Fermi-level density of states   3.93 states/eV/f.u.
SG   P3m1
Energy   -41.9 eV/cell
E_form (uncorrected)   -12.8 eV per formula unit

***

Record 10
DFT (PBE-GGA) results for a geometry-optimized NdBiIO6 structure.

POSCAR file:
```
NdBiIO6
1.0
5.8231 0.0000 0.0000
-2.9116 5.0430 0.0000
0.0000 0.0000 9.5622
O Bi I Nd
12 2 2 2
direct
0.3732 0.3258 0.3671
0.9526 0.3258 0.1329
0.3258 0.9526 0.6329
0.9526 0.6268 0.3671
0.6268 0.6742 0.6329
0.0474 0.3732 0.6329
0.3732 0.0474 0.1329
0.6742 0.0474 0.3671
0.6742 0.6268 0.1329
0.0474 0.6742 0.8671
0.6268 0.9526 0.8671
0.3258 0.3732 0.8671
0.0000 0.0000 0.0000
0.0000 0.0000 0.5000
0.6667 0.3333 0.2500
0.3333 0.6667 0.7500
0.6667 0.3333 0.7500
0.3333 0.6667 0.2500
```

Properties
Fermi-level density of states   3.63 states/eV/f.u.
SG   P-31c
Energy   -103.6 eV/cell
E_form (uncorrected)   -11.9 eV per formula unit

***

Record 11
DFT (PBE-GGA) results for a geometry-optimized Nd6Si2BiI3 structure.

POSCAR file:
```
Nd6Si2BiI3
1.0
4.4175 0.0000 0.0000
0.0000 9.2275 0.1273
-2.2087 -2.8615 9.5694
Nd I Bi Si
6 3 1 2
direct
0.3221 0.4410 0.6442
0.6686 0.1382 0.3371
0.0231 0.2531 0.0463
0.3314 0.8618 0.6629
0.9769 0.7469 0.9537
0.6779 0.5590 0.3558
0.5000 0.5000 0.0000
0.1630 0.8359 0.3260
0.8370 0.1641 0.6740
0.5000 0.0000 0.0000
0.1705 0.3427 0.3409
0.8295 0.6573 0.6591
```

Properties
Fermi-level density of states   3.51 states/eV/f.u.
SG   C2/m
Energy   -59.4 eV/cell
E_form (uncorrected)   -11.4 eV per formula unit

***

Record 12
DFT (PBE-GGA) results for a geometry-optimized NdSmBiI structure.

POSCAR file:
```
NdSmBiI
1.0
5.5587 0.0000 0.0000
2.7793 4.8139 0.0000
2.7793 1.6046 4.5386
Nd Bi I Sm
1 1 1 1
direct
0.0000 0.0000 0.0000
0.2500 0.2500 0.2500
0.7500 0.7500 0.7500
0.5000 0.5000 0.5000
```

Properties
Fermi-level density of states   3.99 states/eV/f.u.
SG   F-43m
Energy   -18.2 eV/cell
E_form (uncorrected)   -3.3 eV per formula unit